# 1
! LiZr2FeRu, optimized geometry, DFT GGA-PBE; values from VASP
! - Space-group type: P4/mmm (123)
! - Formation energy from the elements: 0.557 eV/atom
! - Energy above the most stable polymorph in this dataset: 0 meV per atom
&SYSTEM
  ibrav = 0, nat = 5, ntyp = 4
/
ATOMIC_SPECIES
Fe 55.84 Fe.upf
Zr 91.22 Zr.upf
Li 6.94 Li.upf
Ru 101.07 Ru.upf
ATOMIC_POSITIONS crystal
Fe 0.000 0.000 0.000
Zr 0.500 0.000 0.000
Zr 0.000 0.000 0.500
Li 0.000 0.500 0.000
Ru 0.500 0.500 0.500
CELL_PARAMETERS angstrom
-1.246 -0.794 4.464
3.074 -2.671 0.383
2.841 3.472 1.411

# 2
! LiZr2FeRu, optimized geometry, DFT GGA-PBE; values from VASP
! - Space-group type: P4/mmm (123)
! - Formation energy from the elements: 0.707 eV/atom
! - Energy above the most stable polymorph in this dataset: 150 meV per atom
&SYSTEM
  ibrav = 0, nat = 5, ntyp = 4
/
ATOMIC_SPECIES
Li 6.94 Li.upf
Zr 91.22 Zr.upf
Ru 101.07 Ru.upf
Fe 55.84 Fe.upf
ATOMIC_POSITIONS crystal
Li 0.000 0.000 0.000
Zr 0.500 0.000 0.000
Zr 0.000 0.000 0.500
Ru 0.500 0.500 0.500
Fe 0.000 0.500 0.000
CELL_PARAMETERS angstrom
-0.956 4.220 -1.867
0.249 -1.434 -3.368
-4.604 -1.004 0.087

# 3
! Li8FeS6, optimized geometry, DFT GGA-PBE; values from VASP
! - Space-group type: P6_3cm (185)
! - Energy: -4.30 eV/atom
&SYSTEM
  ibrav = 0, nat = 30, ntyp = 3
/
ATOMIC_SPECIES
Li 6.94 Li.upf
S 32.06 S.upf
Fe 55.84 Fe.upf
ATOMIC_POSITIONS crystal
Li 0.667 0.333 0.401
Li 0.631 0.000 0.130
Li 0.000 0.314 0.266
Li 0.369 0.369 0.130
Li 0.333 0.667 0.401
Li 0.314 0.314 0.766
Li 0.000 0.369 0.630
Li 0.000 0.631 0.130
Li 0.333 0.667 0.901
Li 0.686 0.686 0.266
Li 0.686 0.000 0.766
Li 0.314 0.000 0.266
Li 0.000 0.686 0.766
Li 0.667 0.333 0.901
Li 0.631 0.631 0.630
Li 0.369 0.000 0.630
S 0.333 0.667 0.717
S 0.695 0.000 0.951
S 0.000 0.695 0.951
S 0.000 0.000 0.671
S 0.695 0.695 0.451
S 0.667 0.333 0.717
S 0.333 0.667 0.217
S 0.305 0.000 0.451
S 0.000 0.305 0.451
S 0.667 0.333 0.217
S 0.305 0.305 0.951
S 0.000 0.000 0.171
Fe 0.000 0.000 0.001
Fe 0.000 0.000 0.501
CELL_PARAMETERS angstrom
-3.568 2.982 -4.983
1.321 -6.680 -0.283
-11.407 -2.537 6.649